## PrZn6Pd2 (GGA-PBE)

Data for crystalline PrZn6Pd2 at its relaxed geometry.

extended XYZ file:
```
9
Lattice="3.923 0.000 0.000 1.961 6.854 1.206 1.961 2.535 6.481" Properties=species:S:1:pos:R:3 pbc="T T T"
Pr 0.000 0.000 0.000
Zn 3.923 4.222 0.786
Zn 3.923 1.604 3.984
Zn 3.923 7.785 3.703
Zn 3.923 3.946 4.757
Zn 3.923 5.167 6.901
Zn 3.923 5.443 2.929
Pd 1.961 3.546 2.903
Pd 5.884 5.843 4.783
```

9
Lattice="-1.718 1.326 3.806 0.274 -5.966 -0.319 7.773 3.525 2.280" Properties=species:S:1:pos:R:3 comment="Pr3Zn2Pd4 GGA-PBE relaxed" polymorph_energy_mev_per_atom=0 pbc="T T T"
Pr 1.998 -2.688 1.839
Pr 0.000 0.000 0.000
Pr 4.332 1.574 3.929
Pd 3.119 0.569 1.210
Pd -0.584 -1.351 2.729
Pd 3.211 -1.683 4.558
Pd 6.914 0.237 3.038
Zn 1.469 0.154 3.131
Zn 4.861 -1.268 2.636

## PrZn9Pd3 (GGA-PBE)

Data for crystalline PrZn9Pd3 at its relaxed geometry.

extended XYZ file:
```
13
Lattice="1.088 4.123 3.194 3.806 -1.669 5.414 5.883 3.271 -1.783" Properties=species:S:1:pos:R:3 pbc="T T T"
Zn 4.572 0.098 2.924
Zn 6.677 2.513 3.532
Zn 2.435 1.493 1.670
Zn 8.342 4.232 5.155
Zn 6.206 5.627 3.901
Zn 4.823 1.497 5.442
Zn 4.100 3.212 3.293
Zn 1.903 -0.835 2.707
Zn 5.955 4.229 1.383
Pd 3.486 3.697 0.705
Pd 2.447 1.227 4.304
Pd 2.942 1.636 -0.892
Pr 0.000 0.000 0.000
```

## Pr3ZnPd (GGA-PBE)

Data for crystalline Pr3ZnPd at its relaxed geometry.

extended XYZ file:
```
20
Lattice="-6.159 -1.606 -1.913 -0.010 -7.393 6.241 -3.185 8.764 2.897" Properties=species:S:1:pos:R:3 pbc="T T T"
Pr -4.047 -2.465 3.556
Pr -5.297 -0.510 5.944
Pr -5.922 5.556 2.858
Pr -2.215 3.989 3.780
Pr -7.139 -4.224 3.444
Pr -4.057 0.275 1.280
Pr -0.347 -1.292 2.203
Pr -0.964 2.034 1.392
Pr -9.007 1.056 5.022
Pr -3.432 -5.792 4.366
Pr -5.307 2.229 3.668
Pr -8.390 -2.270 5.832
Pd -4.704 4.672 5.547
Pd -4.604 -8.591 4.813
Pd -4.750 8.355 2.411
Pd -4.650 -4.908 1.677
Zn -6.599 -0.620 3.017
Zn -3.524 -3.511 7.091
Zn -2.755 0.384 4.207
Zn -5.830 3.276 0.134
```

no.,spin magnetization (μB/f.u.),energy of formation from the pure elements (eV/atom)
1,0.000,-0.29
2,0.000,-0.70
3,0.000,-0.38
4,0.000,-0.37